16
Lattice="6.607 0.000 0.000 0.000 8.292 -4.787 0.000 0.000 9.575" Properties=species:S:1:pos:R:3 comment="Tl10Hg3Bi3, optimized geometry, DFT GGA-PBE" sg="P-62m, No. 189" dos_at_fermi_per_ev_cell=5.872 final_energy_ev_per_atom=-2.264 ef_mev_per_atom=-1 pbc="T T T"
Bi 0.000 4.849 -2.800
Hg 3.303 5.184 2.993
Tl 4.931 2.764 4.787
Tl 1.675 2.764 4.787
Bi 0.000 0.000 5.599
Hg 3.303 0.000 3.589
Bi 0.000 3.443 1.988
Tl 3.303 6.046 -3.491
Tl 3.303 2.246 1.297
Tl 0.000 6.370 3.678
Tl 1.675 5.528 0.000
Tl 0.000 1.922 -1.110
Hg 3.303 3.108 -1.794
Tl 0.000 0.000 2.220
Tl 3.303 0.000 6.981
Tl 4.931 5.528 0.000

=====

18
Lattice="9.046 0.000 0.000 0.000 9.046 0.000 -4.523 -4.523 7.966" Properties=species:S:1:pos:R:3 comment="La5PmPr2Dy, optimized geometry, DFT GGA-PBE" sg="I4/mcm, No. 140" dos_at_fermi_per_ev_cell=33.280 final_energy_ev_per_atom=-4.582 ef_mev_per_atom=256 pbc="T T T"
La -1.899 -2.624 5.721
La -2.624 1.899 5.721
La 0.000 0.000 0.000
Pm 0.000 0.000 3.983
Pr 7.986 5.584 0.000
La 6.423 7.147 2.245
Pm 4.523 4.523 3.983
La 1.899 6.423 2.245
La 1.899 2.624 5.721
La 2.624 1.899 2.245
Dy 4.523 0.000 3.983
Pr 3.462 7.986 0.000
Pr 5.584 1.061 0.000
La 7.147 2.624 2.245
La 4.523 4.523 0.000
Pr 1.061 3.462 0.000
Dy 0.000 4.523 3.983
La 2.624 -1.899 5.721

=====

5
Lattice="3.847 0.000 0.000 0.000 3.847 0.000 0.000 0.000 3.847" Properties=species:S:1:pos:R:3 comment="ReOsN3, optimized geometry, DFT GGA-PBE" sg="Pm-3m, No. 221" raw_formation_energy_mev_per_atom=1783 dos_at_fermi_per_ev_cell=4.381 final_energy_ev_per_atom=-7.948 pbc="T T T"
N 0.000 1.923 0.000
Os 0.000 0.000 0.000
N 1.923 0.000 0.000
N 0.000 0.000 1.923
Re 1.923 1.923 1.923

=====

12
Lattice="4.990 0.000 1.562 2.251 4.454 1.562 0.062 0.038 8.554" Properties=species:S:1:pos:R:3 comment="Pm3Al2Ni7, optimized geometry, DFT GGA-PBE" sg="R-3m, No. 166" dos_at_fermi_per_ev_cell=8.421 final_energy_ev_per_atom=-5.639 ef_mev_per_atom=-455 pbc="T T T"
Ni 3.651 2.246 5.839
Ni 4.228 2.600 8.281
Pm 6.245 3.841 6.304
Ni 3.075 1.892 3.397
Ni 4.176 4.071 4.162
Al 2.400 1.476 1.085
Al 4.903 3.016 10.594
Ni 1.786 2.600 7.517
Ni 3.126 0.421 7.517
Pm 1.058 0.650 5.374
Pm 0.000 0.000 0.000
Ni 5.517 1.892 4.162

=====

4
Lattice="5.302 0.032 0.069 4.480 2.837 0.069 0.970 0.284 5.195" Properties=species:S:1:pos:R:3 comment="Al2CdAs, optimized geometry, DFT GGA-PBE" sg="C2/m, No. 12" dos_at_fermi_per_ev_cell=0.918 final_energy_ev_per_atom=-3.104 ef_mev_per_atom=158 pbc="T T T"
Al 5.422 1.590 2.648
As 2.688 0.788 1.333
Al 9.736 2.856 0.157
Cd 8.064 2.365 4.000

=====

10
Lattice="5.199 0.000 2.759 1.868 4.852 2.759 -0.078 -0.053 6.425" Properties=species:S:1:pos:R:3 comment="MnV3S6, optimized geometry, DFT GGA-PBE" sg="R3, No. 146" raw_formation_energy_mev_per_atom=-812 dos_at_fermi_per_ev_cell=7.646 final_energy_ev_per_atom=-6.941 pbc="T T T"
V 4.705 3.230 3.691
S 3.456 1.189 3.911
V 1.124 0.772 4.160
Mn 5.876 4.035 7.761
S 3.523 3.618 8.051
S 1.129 1.988 6.187
S 4.008 0.340 7.114
S 5.842 2.798 5.763
V 2.297 1.577 8.227
S 2.986 4.447 4.849

=====

12
Lattice="3.580 0.000 0.000 1.790 6.586 0.878 1.790 1.524 4.794" Properties=species:S:1:pos:R:3 comment="Li4H7Pt, optimized geometry, DFT GGA-PBE" sg="C2/m, No. 12" dos_at_fermi_per_ev_cell=0.589 final_energy_ev_per_atom=-3.461 pbc="T T T"
H 5.370 6.567 2.542
Li 1.790 2.332 1.054
H 1.790 4.931 0.893
H 1.790 1.543 3.129
Li 5.370 5.778 4.617
H 3.580 4.742 4.057
H 5.370 3.179 4.778
Li 3.580 5.209 2.285
H 1.790 0.000 0.000
Pt 0.000 0.000 0.000
Li 3.580 2.901 3.386
H 3.580 3.368 1.614

=====

12
Lattice="8.197 0.000 0.000 -4.099 7.099 0.000 0.000 0.000 11.310" Properties=species:S:1:pos:R:3 comment="K2GeTe3, optimized geometry, DFT GGA-PBE" sg="P-3m1, No. 164" raw_formation_energy_mev_per_atom=-482 dos_at_fermi_per_ev_cell=2.049 final_energy_ev_per_atom=-3.188 pbc="T T T"
Te 6.263 1.117 8.479
Te 2.165 5.983 2.830
K 0.000 0.000 0.000
Te 4.099 4.866 8.479
Ge 4.099 2.366 8.481
Te 0.000 2.233 2.830
K 0.000 4.733 8.465
K 0.000 0.000 5.655
Te -2.165 5.983 2.830
K 4.099 2.366 2.845
Ge 0.000 4.733 2.829
Te 1.934 1.117 8.479

=====

8
Lattice="4.007 0.000 0.000 0.000 6.977 -0.156 0.000 2.439 6.556" Properties=species:S:1:pos:R:3 comment="CaNdSm2S4, optimized geometry, DFT GGA-PBE" sg="P2/m, No. 10" raw_formation_energy_mev_per_atom=-2039 dos_at_fermi_per_ev_cell=2.893 final_energy_ev_per_atom=-6.129 pbc="T T T"
Nd 2.004 5.928 6.478
Ca 0.000 4.708 3.200
S 4.007 2.357 1.637
S 2.004 5.849 1.548
S 2.004 3.567 4.852
Sm 0.000 2.439 6.556
Sm 2.004 1.220 3.278
S 0.000 7.059 4.763

=====

3
Lattice="-2.956 5.603 1.756 -5.111 3.797 -1.637 2.755 -5.815 1.346" Properties=species:S:1:pos:R:3 comment="CdMoSe, optimized geometry, DFT GGA-PBE" sg="I4mm, No. 107" raw_formation_energy_mev_per_atom=21 dos_at_fermi_per_ev_cell=1.719 final_energy_ev_per_atom=-5.056 pbc="T T T"
Se -5.693 6.634 0.084
Mo -2.557 2.980 0.038
Cd -7.884 9.187 0.117

=====

4
Lattice="-5.021 6.468 -1.396 -7.626 3.093 -1.129 6.305 -4.259 3.333" Properties=species:S:1:pos:R:3 comment="Be2PtCl, optimized geometry, DFT GGA-PBE" sg="Imm2, No. 44" raw_formation_energy_mev_per_atom=-303 dos_at_fermi_per_ev_cell=0.833 final_energy_ev_per_atom=-4.138 pbc="T T T"
Cl -6.316 4.775 -1.261
Be -0.904 0.683 -0.180
Be -2.372 3.383 0.367
Pt -3.075 1.242 0.620

=====

4
Lattice="-4.797 -1.487 2.170 -3.959 -1.981 -3.214 -1.355 -5.293 0.275" Properties=species:S:1:pos:R:3 comment="Tm2LuPa, optimized geometry, DFT GGA-PBE" sg="Fm-3m, No. 225" dos_at_fermi_per_ev_cell=9.002 final_energy_ev_per_atom=-5.428 ef_mev_per_atom=311 pbc="T T T"
Tm -2.528 -2.190 -0.192
Pa 0.000 0.000 0.000
Lu -5.056 -4.381 -0.385
Tm -7.583 -6.571 -0.577